A plane-wave DFT calculation with GGA-PBE was carried out for a relaxed structure of CsCdFeH6.

Cell: 4.8404 4.8364 5.9315 Å, 89.98 90.01 62.03°
With the nearest neighbours (Å) after each atom.
Atoms (fractional coordinates):
H (0.0657, 0.4788, 0.6918)  1 Fe 1.59
Cs (0.0031, 0.0019, 0.0000)  12 H 3.02-3.14
H (0.4778, 0.0668, 0.3087)  1 Fe 1.59
Cd (0.6664, 0.6670, 0.5000)  6 H 2.04-2.05
H (0.0653, 0.4766, 0.3081)  1 Fe 1.59
Fe (0.3237, 0.3251, 0.5000)  6 H 1.57-1.59
H (0.4756, 0.0664, 0.6915)  1 Fe 1.59
H (0.4624, 0.4574, 0.6850)  1 Fe 1.57
H (0.4599, 0.4599, 0.3149)  1 Fe 1.57

- space-group type = No. 1
- raw total energy (eV per atom) = -3.383
- theoretical density (Mg/m³) = 4.16